(1)
# Hf2GaMoW, single point on PBEsol structure, DFT SCAN
# Final energy in eV per atom: -48.013
# Magnetic moment in μB/cell: 3.48
# Calculated density in g/cm3: 10.22
data_Hf2GaMoW
_chemical_formula_sum 'Hf2 Ga1 Mo1 W1'
_cell_length_a 4.898
_cell_length_b 4.898
_cell_length_c 4.783
_cell_angle_alpha 90.00
_cell_angle_beta 90.00
_cell_angle_gamma 90.00
_symmetry_space_group_name_H-M 'P 4/m m m'
_symmetry_Int_Tables_number 123
_symmetry_space_group_name_Hall '-P 4 2'
loop_
_atom_site_label
_atom_site_type_symbol
_atom_site_fract_x
_atom_site_fract_y
_atom_site_fract_z
Hf1 Hf 0.000 0.500 0.000
Ga1 Ga 0.000 0.000 0.500
Mo1 Mo 0.500 0.500 0.500
W1 W 0.000 0.000 0.000

=====

(2)
# HfGaTe2N, single point on PBEsol structure, DFT SCAN
# Final energy in eV per atom: -32.610
# Magnetic moment in μB/cell: 0.00
# ΔE_f (raw) in meV per atom: -48
# Calculated density in g/cm3: 6.73
data_HfGaTe2N
_chemical_formula_sum 'Hf1 Ga1 Te2 N1'
_cell_length_a 5.690
_cell_length_b 5.690
_cell_length_c 3.942
_cell_angle_alpha 90.00
_cell_angle_beta 90.00
_cell_angle_gamma 90.00
_symmetry_space_group_name_H-M 'P 4/m m m'
_symmetry_Int_Tables_number 123
_symmetry_space_group_name_Hall '-P 4 2'
loop_
_atom_site_label
_atom_site_type_symbol
_atom_site_fract_x
_atom_site_fract_y
_atom_site_fract_z
Hf1 Hf 0.000 0.000 0.000
Ga1 Ga 0.500 0.500 0.500
Te1 Te 0.000 0.500 0.000
N1 N 0.000 0.000 0.500

=====

(3)
# HfNbGa3, single point on PBEsol structure, DFT SCAN
# Final energy in eV per atom: -28.325
# Magnetic moment in μB/cell: 0.00
# Calculated density in g/cm3: 7.30
data_HfNbGa3
_chemical_formula_sum 'Hf1 Nb1 Ga3'
_cell_length_a 4.782
_cell_length_b 4.782
_cell_length_c 4.782
_cell_angle_alpha 90.00
_cell_angle_beta 90.00
_cell_angle_gamma 90.00
_symmetry_space_group_name_H-M 'P m -3 m'
_symmetry_Int_Tables_number 221
_symmetry_space_group_name_Hall '-P 4 2 3'
loop_
_atom_site_label
_atom_site_type_symbol
_atom_site_fract_x
_atom_site_fract_y
_atom_site_fract_z
Hf1 Hf 0.000 0.000 0.000
Nb1 Nb 0.500 0.500 0.500
Ga1 Ga 0.000 0.500 0.500

=====

(4)
# Hf3Nb2Ga3, single point on PBEsol structure, DFT SCAN
# Final energy in eV per atom: -38.460
# Magnetic moment in μB/cell: 0.00
# Calculated density in g/cm3: 10.75
data_Hf3Nb2Ga3
_chemical_formula_sum 'Hf6 Nb4 Ga6'
_cell_length_a 7.8433
_cell_length_b 7.8433
_cell_length_c 5.3943
_cell_angle_alpha 90.00
_cell_angle_beta 90.00
_cell_angle_gamma 120.00
_symmetry_space_group_name_H-M 'P 63/m c m'
_symmetry_Int_Tables_number 193
_symmetry_space_group_name_Hall '-P 6c 2'
loop_
_atom_site_label
_atom_site_type_symbol
_atom_site_fract_x
_atom_site_fract_y
_atom_site_fract_z
Hf1 Hf 0.0000 0.2458 0.2500
Nb1 Nb 0.3333 0.6667 0.0000
Ga1 Ga 0.0000 0.3965 0.7500